1.
Entry from the Alexandria database: a relaxed MgMoP2Cl crystal (PBE).

It has space group P4/mmm (No. 123), with a = 4.6453 Å, b = 4.6453 Å, c = 5.1384 Å, α = 90.00°, β = 90.00° and γ = 90.00°. The asymmetric unit holds Mg at (0.0000, 0.0000, 0.0000), Mo at (0.5000, 0.5000, 0.5000), P at (0.0000, 0.5000, 0.5000) and Cl at (0.5000, 0.5000, 0.0000).

For the electronic total energy, the calculation gives -4.9198 eV/atom. The value obtained for the calculated volume is 110.9 Å³/cell. Its raw formation energy is 99 meV/atom. The value obtained for the energy above the most stable polymorph in this dataset is 0.00 kcal/mol of atoms.


2.
Entry from the Alexandria database: a relaxed Tb2PmFe crystal (PBE).

It has space group R-3m (No. 166, hexagonal axes), with a = 3.4954 Å, b = 3.4954 Å, c = 32.1339 Å, α = 90.00°, β = 90.00° and γ = 120.00°. The asymmetric unit holds Tb at (0.0000, 0.0000, 0.1091), Pm at (0.0000, 0.0000, 0.0000) and Fe at (0.0000, 0.0000, 0.5000).

For the electronic total energy, the calculation gives -5.2933 eV/atom. The value obtained for the calculated volume is 340.0 Å³/cell. The value obtained for the energy above the most stable polymorph in this dataset is 5.23 kcal/mol of atoms.


3.
Entry from the Alexandria database: a relaxed Ca5TbAg6 crystal (PBE).

It has space group P2/m (No. 10), with a = 5.2194 Å, b = 7.4210 Å, c = 8.2551 Å, α = 90.00°, β = 108.19° and γ = 90.00°. The asymmetric unit holds Ca at (0.0000, 0.0000, 0.0000), Ca at (0.3317, 0.5000, 0.6634), Ca at (0.3338, 0.0000, 0.6680), Tb at (0.0000, 0.5000, 0.0000), Ag at (0.1615, 0.2541, 0.3225) and Ag at (0.5000, 0.2663, 0.0000).

For the electronic total energy, the calculation gives -2.9557 eV/atom. The value obtained for the calculated volume is 303.8 Å³/cell.


4.
Entry from the Alexandria database: a relaxed Ba2Co2P2N crystal (PBE).

It has space group C2/m (No. 12), with a = 11.2706 Å, b = 3.9411 Å, c = 7.4199 Å, α = 90.00°, β = 123.69° and γ = 90.00°. The asymmetric unit holds Ba at (0.0584, 0.0000, 0.3191), Co at (0.1756, 0.5000, 0.0620), P at (0.2074, 0.5000, 0.7863) and N at (0.0000, 0.5000, 0.0000).

For the electronic total energy, the calculation gives -6.0118 eV/atom. The value obtained for the calculated volume is 274.2 Å³/cell. Its raw formation energy is -697 meV/atom.


5.
Entry from the Alexandria database: a relaxed Pm2ErPt crystal (PBE).

It has space group R-3m (No. 166, hexagonal axes), with a = 3.4457 Å, b = 3.4457 Å, c = 33.7969 Å, α = 90.00°, β = 90.00° and γ = 120.00°. The asymmetric unit holds Pm at (0.0000, 0.0000, 0.0796), Er at (0.0000, 0.0000, 0.5000) and Pt at (0.0000, 0.0000, 0.0000).

For the electronic total energy, the calculation gives -4.8985 eV/atom. The value obtained for the calculated volume is 347.5 Å³/cell. The value obtained for the energy above the most stable polymorph in this dataset is 18.30 kcal/mol of atoms.


6.
Entry from the Alexandria database: a relaxed Y2ZnPbC crystal (PBE).

It has space group P4/mmm (No. 123), with a = 5.0562 Å, b = 5.0562 Å, c = 4.1052 Å, α = 90.00°, β = 90.00° and γ = 90.00°. The asymmetric unit holds Y at (0.0000, 0.5000, 0.0000), Zn at (0.0000, 0.0000, 0.5000), Pb at (0.5000, 0.5000, 0.5000) and C at (0.0000, 0.0000, 0.0000).

For the electronic total energy, the calculation gives -5.7574 eV/atom. The value obtained for the calculated volume is 104.9 Å³/cell.


7.
Entry from the Alexandria database: a relaxed Th6CoCl15 crystal (PBE).

It has space group Im-3m (No. 229), with a = 11.3242 Å, b = 11.3242 Å, c = 11.3242 Å, α = 90.00°, β = 90.00° and γ = 90.00°. The asymmetric unit holds Th at (0.0000, 0.0000, 0.2439), Co at (0.0000, 0.0000, 0.0000), Cl at (0.0000, 0.0000, 0.5000) and Cl at (0.0000, 0.2461, 0.2461).

For the electronic total energy, the calculation gives -5.5213 eV/atom. The value obtained for the calculated volume is 1452.2 Å³/cell. Its raw formation energy is -1916 meV/atom.


8.
Entry from the Alexandria database: a relaxed Zr2CdAg crystal (PBE).

It has space group P4/mmm (No. 123), with a = 4.3159 Å, b = 4.3159 Å, c = 4.4598 Å, α = 90.00°, β = 90.00° and γ = 90.00°. The asymmetric unit holds Zr at (0.0000, 0.5000, 0.0000), Cd at (0.0000, 0.0000, 0.5000) and Ag at (0.5000, 0.5000, 0.5000).

For the electronic total energy, the calculation gives -5.2687 eV/atom. The value obtained for the calculated volume is 83.1 Å³/cell.


9.
Entry from the Alexandria database: a relaxed PmTmRuO6 crystal (PBE).

It has space group P-31c (No. 163), with a = 5.4575 Å, b = 5.4575 Å, c = 9.8777 Å, α = 90.00°, β = 90.00° and γ = 120.00°. The asymmetric unit holds Pm at (0.0000, 0.0000, 0.0000), Tm at (0.3333, 0.6667, 0.2500), Ru at (0.3333, 0.6667, 0.7500) and O at (0.0372, 0.3736, 0.6387).

For the electronic total energy, the calculation gives -7.6350 eV/atom. The value obtained for the calculated volume is 254.8 Å³/cell. Its raw formation energy is -2274 meV/atom.


10.
Entry from the Alexandria database: a relaxed KCa crystal (PBE).

It has space group I4/m (No. 87), with a = 15.3051 Å, b = 15.3051 Å, c = 4.0043 Å, α = 90.00°, β = 90.00° and γ = 90.00°. The asymmetric unit holds K at (0.1176, 0.8264, 0.0000) and Ca at (0.0734, 0.3717, 0.0000).

For the electronic total energy, the calculation gives -1.3823 eV/atom. The value obtained for the calculated volume is 938.0 Å³/cell.


11.
Entry from the Alexandria database: a relaxed PmTiSb2 crystal (PBE).

It has space group R-3m (No. 166, hexagonal axes), with a = 3.3633 Å, b = 3.3633 Å, c = 32.8469 Å, α = 90.00°, β = 90.00° and γ = 120.00°. The asymmetric unit holds Pm at (0.0000, 0.0000, 0.0000), Ti at (0.0000, 0.0000, 0.5000) and Sb at (0.0000, 0.0000, 0.4149).

For the electronic total energy, the calculation gives -5.1694 eV/atom. The value obtained for the calculated volume is 321.8 Å³/cell. Its raw formation energy is 53 meV/atom. The value obtained for the energy above the most stable polymorph in this dataset is 12.88 kcal/mol of atoms.


12.
Entry from the Alexandria database: a relaxed KTmBiO3 crystal (PBE).

It has space group Cmcm (No. 63), with a = 3.4277 Å, b = 16.4701 Å, c = 9.0946 Å, α = 90.00°, β = 90.00° and γ = 90.00°. The asymmetric unit holds K at (0.0000, 0.1477, 0.2500), Tm at (0.0000, 0.5000, 0.0000), Bi at (0.0000, 0.1246, 0.7500), O at (0.0000, 0.0881, 0.5095) and O at (0.0000, 0.4902, 0.2500).

For the electronic total energy, the calculation gives -6.1012 eV/atom. The value obtained for the calculated volume is 513.4 Å³/cell. Its raw formation energy is -2047 meV/atom.


13.
Entry from the Alexandria database: a relaxed LaYTm2 crystal (PBE).

It has space group R-3m (No. 166, hexagonal axes), with a = 3.5810 Å, b = 3.5810 Å, c = 34.7473 Å, α = 90.00°, β = 90.00° and γ = 120.00°. The asymmetric unit holds La at (0.0000, 0.0000, 0.0000), Y at (0.0000, 0.0000, 0.5000) and Tm at (0.0000, 0.0000, 0.2485).

For the electronic total energy, the calculation gives -5.0551 eV/atom. The value obtained for the calculated volume is 385.9 Å³/cell. The value obtained for the energy above the most stable polymorph in this dataset is 0.37 kcal/mol of atoms.


14.
Entry from the Alexandria database: a relaxed TaP2Br crystal (PBE).

It has space group P2/m (No. 10), with a = 3.6952 Å, b = 4.5968 Å, c = 5.2840 Å, α = 90.00°, β = 108.11° and γ = 90.00°. The asymmetric unit holds Ta at (0.0000, 0.0000, 0.0000), P at (0.3083, 0.5000, 0.1290) and Br at (0.0000, 0.0000, 0.5000).

For the electronic total energy, the calculation gives -5.9943 eV/atom. The value obtained for the calculated volume is 85.3 Å³/cell. Its raw formation energy is 92 meV/atom. The value obtained for the energy above the most stable polymorph in this dataset is 10.41 kcal/mol of atoms.


15.
Entry from the Alexandria database: a relaxed Na5Hg8Pb crystal (PBE).

It has space group I-4 (No. 82), with a = 9.0427 Å, b = 9.0427 Å, c = 9.5567 Å, α = 90.00°, β = 90.00° and γ = 90.00°. The asymmetric unit holds Na at (0.0000, 0.0000, 0.0000), Na at (0.1374, 0.7333, 0.3507), Hg at (0.0808, 0.8423, 0.6733), Hg at (0.0948, 0.6629, 0.0347) and Pb at (0.0000, 0.5000, 0.7500).

For the electronic total energy, the calculation gives -1.0668 eV/atom. The value obtained for the calculated volume is 781.5 Å³/cell.


16.
Entry from the Alexandria database: a relaxed YMoCl crystal (PBE).

It has space group P3m1 (No. 156), with a = 3.4365 Å, b = 3.4365 Å, c = 6.8802 Å, α = 90.00°, β = 90.00° and γ = 120.00°. The asymmetric unit holds Y at (0.0000, 0.0000, 0.0000), Mo at (0.6667, 0.3333, 0.6796) and Cl at (0.3333, 0.6667, 0.2877).

For the electronic total energy, the calculation gives -6.3930 eV/atom. The value obtained for the calculated volume is 70.4 Å³/cell. Its raw formation energy is -12 meV/atom. The value obtained for the energy above the most stable polymorph in this dataset is 0.00 kcal/mol of atoms.


17.
Entry from the Alexandria database: a relaxed Sc5CuNi4 crystal (PBE).

It has space group P4/mmm (No. 123), with a = 3.1701 Å, b = 3.1701 Å, c = 16.1024 Å, α = 90.00°, β = 90.00° and γ = 90.00°. The asymmetric unit holds Sc at (0.0000, 0.0000, 0.0000), Sc at (0.0000, 0.0000, 0.1980), Sc at (0.0000, 0.0000, 0.3958), Cu at (0.5000, 0.5000, 0.5000), Ni at (0.5000, 0.5000, 0.0991) and Ni at (0.5000, 0.5000, 0.2970).

For the electronic total energy, the calculation gives -6.3457 eV/atom. The value obtained for the calculated volume is 161.8 Å³/cell.


18.
Entry from the Alexandria database: a relaxed Li3SiPd crystal (PBE).

It has space group Pm-3m (No. 221), with a = 4.5621 Å, b = 4.5621 Å, c = 4.5621 Å, α = 90.00°, β = 90.00° and γ = 90.00°. The asymmetric unit holds Li at (0.0000, 0.0000, 0.5000), Si at (0.5000, 0.5000, 0.5000) and Pd at (0.0000, 0.0000, 0.0000).

For the electronic total energy, the calculation gives -2.9841 eV/atom. The value obtained for the calculated volume is 94.9 Å³/cell. Its raw formation energy is 287 meV/atom. The value obtained for the energy above the most stable polymorph in this dataset is 14.06 kcal/mol of atoms.


19.
Entry from the Alexandria database: a relaxed Tm3As2S crystal (PBE).

It has space group Immm (No. 71), with a = 4.0026 Å, b = 5.6596 Å, c = 11.9418 Å, α = 90.00°, β = 90.00° and γ = 90.00°. The asymmetric unit holds Tm at (0.0000, 0.0000, 0.0000), Tm at (0.0000, 0.0000, 0.3342), As at (0.0000, 0.5000, 0.3331) and S at (0.0000, 0.5000, 0.0000).

For the electronic total energy, the calculation gives -6.1611 eV/atom. The value obtained for the calculated volume is 270.5 Å³/cell. Its raw formation energy is -1688 meV/atom. The value obtained for the energy above the most stable polymorph in this dataset is 0.00 kcal/mol of atoms.